# ZnSeCl2 | Alexandria via LeMat-Bulk | PBE-GGA | optimized geometry
data_ZnSeCl2
_chemical_formula_sum 'Zn1 Se1 Cl2'
_cell_length_a 3.245
_cell_length_b 3.245
_cell_length_c 8.417
_cell_angle_alpha 90.00
_cell_angle_beta 90.00
_cell_angle_gamma 90.00
_space_group_name_H-M_alt 'P 4 m m'
_space_group_IT_number 99
loop_
_space_group_symop_operation_xyz
'x,y,z'
'-y,x,z'
'-x,-y,z'
'y,-x,z'
'-x,y,z'
'y,x,z'
'x,-y,z'
'-y,-x,z'
loop_
_atom_site_label
_atom_site_type_symbol
_atom_site_fract_x
_atom_site_fract_y
_atom_site_fract_z
_atom_site_occupancy
Zn1 Zn 0.000 0.000 0.000 1
Se1 Se 0.500 0.500 0.783 1
Cl1 Cl 0.000 0.000 0.576 1
Cl2 Cl 0.500 0.500 0.165 1
# DFT total energy: -2.1066 eV per atom
# Magnetic moment: 0.00 μB per cell
# Energy relative to the elements, uncorrected: 0.006 eV per atom
# Relative energy among the computed polymorphs: 566.7 meV per atom